The following is a DFT calculation (SCAN) of HfAs2O at its PBEsol-relaxed geometry.

The value obtained for the density is 7.13 g cm⁻³. For the density of states at the Fermi level, the calculation gives 8.11 states/eV per cell. Its calculated total energy is -27.29 eV/atom.

It has space group I-42d (No. 122), with a = 5.2924 Å, b = 5.2924 Å, c = 11.4601 Å, α = 90.00°, β = 90.00° and γ = 90.00°. The asymmetric unit holds Hf at (0.0000, 0.0000, 0.0000), As at (0.1651, 0.2500, 0.6250) and O at (0.0000, 0.0000, 0.5000).